Density functional theory data (PBE) for a relaxed structure of Li2La3Ho2Tl4.

Summary:
The value obtained for the size of the total moment is 0.26 Bohr magnetons per cell. The total energy comes out at -39.6 eV/cell.

Unit cell a=5.1460 b=5.1460 c=14.2534 alpha=90.00 beta=90.00 gamma=120.00
With the nearest neighbours (Å) after each atom.
Space group P-3m1 (No. 164)
Symmetry-distinct sites (fractional):
Li (0.3333, 0.6667, 0.1323)  4 Tl 2.97-3.19
La (0.0000, 0.0000, 0.0000)  6 Tl 3.48, 2 La 3.52, 6 Li 3.52
La (0.0000, 0.0000, 0.2466)  6 Tl 3.36-3.43, 3 Li 3.39, 1 La 3.52
Ho (0.3333, 0.6667, 0.5773)  4 Tl 3.12-3.15
Tl (0.3333, 0.6667, 0.3563)  4 Ho 3.12-3.15, 1 Li 3.19, 3 La 3.36
Tl (0.3333, 0.6667, 0.8735)  3 Li 2.97